SrNiO, optimized geometry, DFT PBE+U; density = 5.27 g/cm³; crystal system = orthorhombic; SG = Amm2 (38); total energy = -24.565 eV per cell; magnetization = 0.0 Bohr magnetons per cell; V = 17.050 Å³/atom
1.0
-3.5183 1.2788 3.7187
3.0491 -2.4751 3.5216
1.8115 3.1359 0.6358
Sr O Ni
2 2 2
Direct
0.1385 0.7563 0.0224
0.5731 0.3217 0.0224
0.2776 0.4608 0.5225
0.6449 0.8280 0.0224
0.0315 0.2150 0.5221
0.6869 0.8701 0.5223